No. 1
ZrRu3Au | meta-GGA SCAN | single point on PBEsol structure

Cell lengths 4.7041, 4.7041, 4.7041 Å; angles 90.00, 90.00, 90.00 degrees
Closest atoms and distances in Å follow each position.
Atoms (fractional coordinates):
Zr 0.0000 0.0000 0.0000  12 Ru 3.33
Ru 0.0000 0.5000 0.5000  2 Au 2.35
Ru 0.5000 0.0000 0.5000  2 Au 2.35
Ru 0.5000 0.5000 0.0000  2 Au 2.35
Au 0.5000 0.5000 0.5000  6 Ru 2.35

formation energy from the elements	1668	meV/atom
SG	Pm-3m, No. 221
E	-39.1994	eV/atom

No. 2
Zr2RuAu | meta-GGA SCAN | single point on PBEsol structure

Cell lengths 3.3053, 4.3793, 5.3706 Å; angles 90.00, 107.53, 90.00 degrees
Closest atoms and distances in Å follow each position.
Atoms (fractional coordinates):
Zr 0.0000 0.0000 0.0000  1 Ru 2.59, 4 Au 2.82
Zr 0.2887 0.5000 0.5865  4 Ru 2.78, 3 Au 2.79-2.86
Ru 0.7435 0.0000 0.4941  5 Zr 2.59-2.78, 2 Au 2.87
Au 0.5641 0.5000 0.1305  7 Zr 2.79-2.86, 2 Ru 2.87

formation energy from the elements	-722	meV/atom
SG	Pm, No. 6
E	-42.0673	eV/atom

No. 3
ZrRu2Au | meta-GGA SCAN | single point on PBEsol structure

Cell lengths 4.8016, 4.8016, 4.8016 Å; angles 130.15, 130.15, 73.16 degrees
Closest atoms and distances in Å follow each position.
Atoms (fractional coordinates):
Zr 0.0000 0.0000 0.0000  8 Ru 2.79, 4 Au 2.86
Ru 0.2500 0.7500 0.5000  4 Zr 2.79, 4 Au 2.79, 4 Ru 2.86
Ru 0.7500 0.2500 0.5000  4 Zr 2.79, 4 Au 2.79, 4 Ru 2.86
Au 0.5000 0.5000 0.0000  8 Ru 2.79, 4 Zr 2.86

formation energy from the elements	-135	meV/atom
relative energy among the computed polymorphs	270	meV/atom
SG	I4/mmm, No. 139
E	-42.5116	eV/atom

No. 4
ZrRu2Au | meta-GGA SCAN | single point on PBEsol structure

Cell lengths 4.0179, 4.0179, 3.8499 Å; angles 90.00, 90.00, 90.00 degrees
Closest atoms and distances in Å follow each position.
Atoms (fractional coordinates):
Zr 0.0000 0.0000 0.0000  8 Ru 2.78, 4 Au 2.84
Ru 0.0000 0.5000 0.5000  4 Zr 2.78, 4 Au 2.78, 4 Ru 2.84
Ru 0.5000 0.0000 0.5000  4 Zr 2.78, 4 Au 2.78, 4 Ru 2.84
Au 0.5000 0.5000 0.0000  8 Ru 2.78, 4 Zr 2.84

formation energy from the elements	-405	meV/atom
relative energy among the computed polymorphs	0	meV/atom
SG	P4/mmm, No. 123
E	-42.7816	eV/atom

No. 5
ZrRu2Au | meta-GGA SCAN | single point on PBEsol structure

Cell lengths 8.6954, 8.6954, 8.6954 Å; angles 19.77, 19.77, 19.77 degrees
Closest atoms and distances in Å follow each position.
Atoms (fractional coordinates):
Zr 0.0000 0.0000 0.0000  6 Ru 2.67, 6 Zr 2.99
Ru 0.2536 0.2536 0.2536  3 Zr 2.67, 3 Au 2.81, 6 Ru 2.99
Ru 0.7464 0.7464 0.7464  3 Zr 2.67, 3 Au 2.81, 6 Ru 2.99
Au 0.5000 0.5000 0.5000  6 Ru 2.81, 6 Au 2.99

formation energy from the elements	200	meV/atom
relative energy among the computed polymorphs	604	meV/atom
SG	R-3m, No. 166
E	-42.1772	eV/atom

No. 6
Zr2RuAu | meta-GGA SCAN | single point on PBEsol structure

Cell lengths 3.1939, 3.1939, 7.0942 Å; angles 90.00, 90.00, 90.00 degrees
Closest atoms and distances in Å follow each position.
Atoms (fractional coordinates):
Zr 0.0000 0.0000 0.2307  4 Ru 2.79, 4 Au 2.96
Zr 0.0000 0.0000 0.7693  4 Ru 2.79, 4 Au 2.96
Ru 0.5000 0.5000 0.0000  8 Zr 2.79
Au 0.5000 0.5000 0.5000  8 Zr 2.96, 4 Au 3.19

formation energy from the elements	-718	meV/atom
SG	P4/mmm, No. 123
E	-42.0634	eV/atom

No. 7
SbAuS3 | meta-GGA SCAN | single point on PBEsol structure

Cell lengths 4.7259, 4.7259, 4.7259 Å; angles 90.00, 90.00, 90.00 degrees
Closest atoms and distances in Å follow each position.
Atoms (fractional coordinates):
Sb 0.0000 0.0000 0.0000  12 S 3.34
Au 0.5000 0.5000 0.5000  6 S 2.36
S 0.0000 0.5000 0.5000  2 Au 2.36
S 0.5000 0.0000 0.5000  2 Au 2.36
S 0.5000 0.5000 0.0000  2 Au 2.36

relative energy among the computed polymorphs	0	meV/atom
SG	Pm-3m, No. 221
formation energy without anion corrections	0.53	eV per atom
E	-26.5299	eV/atom

No. 8
Sc2AuS | meta-GGA SCAN | single point on PBEsol structure

Cell lengths 7.9358, 7.9358, 7.9358 Å; angles 29.08, 29.08, 29.08 degrees
Closest atoms and distances in Å follow each position.
Atoms (fractional coordinates):
Sc 0.1018 0.1018 0.1018  1 S 2.32
Sc 0.8982 0.8982 0.8982  1 S 2.32
Au 0.5000 0.5000 0.5000  6 Sc 2.73
S 0.0000 0.0000 0.0000  2 Sc 2.32

SG	R-3m, No. 166
formation energy without anion corrections	-0.93	eV per atom
E	-27.7497	eV/atom